Li4Y3TmTe8 GGA-PBE relaxed; energy relative to the elements, uncorrected = -1297.7 meV per atom; magnetic moment = 0.0 μB per formula unit; space-group type = R-3m
1.0
-6.7481 -2.8307 4.6461
0.8753 -7.8592 -3.5170
6.7279 3.7531 3.9724
Te Li Y Tm
8 4 3 1
Cartesian
1.8766 -0.7577 2.2639 Te
-4.3999 -8.0480 0.8688 Te
5.2551 1.1111 4.2328 Te
-1.0214 -6.1792 2.8377 Te
2.3382 -4.7600 0.4960 Te
1.8529 -0.3160 6.5753 Te
-1.4830 -2.1768 4.6056 Te
-0.9977 -6.6208 -1.4737 Te
0.0000 0.0000 0.0000 Li
3.3640 1.8765 1.9862 Li
-3.3740 -1.4153 2.3231 Li
-0.0101 0.4612 4.3093 Li
-2.9364 -5.3449 0.5646 Y
3.8016 -2.0531 0.2277 Y
0.4276 -3.4684 2.5508 Y
0.4377 -3.9296 -1.7585 Tm



Li3Y2TmTe6 GGA-PBE relaxed; energy relative to the elements, uncorrected = -1295.1 meV per atom; magnetic moment = 0.0 μB per formula unit; space-group type = C2/m
1.0
-6.7342 0.8118 3.2010
1.8007 -6.4579 -3.3627
4.2446 -0.5626 6.1425
Te Y Tm Li
6 2 1 3
Cartesian
1.2572 -2.7550 0.4402 Te
-2.6433 -4.4046 1.4412 Te
-1.5614 -0.3542 2.6078 Te
1.9544 -1.8042 4.5396 Te
-1.9461 -3.4538 5.5406 Te
0.8725 -5.8545 3.3730 Te
-1.0454 -4.0338 -1.1739 Y
-3.8882 -1.6124 1.0123 Y
0.0000 0.0000 0.0000 Tm
-0.3445 -3.1044 2.9904 Li
-3.1806 -0.6886 5.1715 Li
2.4917 -5.5201 0.8093 Li



Li2TmZrTe4 GGA-PBE relaxed; energy relative to the elements, uncorrected = -1069.9 meV per atom; magnetic moment = 0.0 μB per formula unit; space-group type = P2/m
1.0
4.1463 0.0000 0.0000
0.0000 7.2443 0.1421
0.0000 -2.5204 7.0539
Tm Zr Li Te
1 1 2 4
Cartesian
0.0000 0.0000 0.0000 Tm
2.0732 3.6222 0.0711 Zr
2.0732 -1.2602 3.5269 Li
0.0000 2.3620 3.5980 Li
2.0732 3.4933 5.3637 Te
0.0000 -0.0313 5.3231 Te
2.0732 1.2306 1.8323 Te
0.0000 4.7553 1.8729 Te



Li2UTe3 GGA-PBE relaxed; energy relative to the elements, uncorrected = -805.5 meV per atom; magnetic moment = 2.0 μB per formula unit; space-group type = P2_1/m; energy relative to the lowest polymorph listed for this composition = 1.6 kJ/mol of atoms
1.0
-3.4691 2.3525 1.1834
-4.1317 -6.1446 0.1030
2.5664 -1.3215 10.1499
Te U Li
6 2 4
Cartesian
-2.5077 -6.1401 8.8619 Te
-2.5267 1.0265 2.5745 Te
-0.5979 -1.5884 5.4119 Te
-2.2208 -1.9584 9.4047 Te
-4.4364 -3.5253 6.0245 Te
-2.8136 -3.1552 2.0317 Te
-3.7958 -5.4168 3.6483 U
-1.2386 0.3032 7.7881 U
-5.5898 -2.7782 1.1585 Li
0.5554 -2.3354 10.2779 Li
-3.5826 -1.3004 4.1048 Li
-1.4518 -3.8132 7.3316 Li



- The lowest energy relative to the elements, uncorrected belongs to which entry?
  Li4Y3TmTe8